(1)
Computed, not measured: a relaxed PmPa6Se8 crystal at the PBE level of DFT.

Cell lengths 7.6352, 7.6352, 7.6352 Å; angles 69.20, 69.20, 69.20 degrees
Atoms (fractional coordinates):
1 Pm 0.0000 0.0000 0.0000
2 Pa 0.0723 0.7001 0.4495
3 Pa 0.2999 0.5505 0.9277
4 Pa 0.4495 0.0723 0.7001
5 Pa 0.5505 0.9277 0.2999
6 Pa 0.7001 0.4495 0.0723
7 Pa 0.9277 0.2999 0.5505
8 Se 0.0974 0.3759 0.8055
9 Se 0.1945 0.9026 0.6241
10 Se 0.3326 0.3326 0.3326
11 Se 0.3759 0.8055 0.0974
12 Se 0.6241 0.1945 0.9026
13 Se 0.6674 0.6674 0.6674
14 Se 0.8055 0.0974 0.3759
15 Se 0.9026 0.6241 0.1945

Calculated values
Energy above the lowest structure with this stoichiometry: 0.215 eV/atom
Formation energy without anion corrections: -1.14 eV per atom
Total magnetic moment: 5.9 μB per formula unit

***

(2)
Computed, not measured: a relaxed PuScHg2 crystal at the PBE level of DFT.

Cell lengths 3.3860, 3.3860, 8.2381 Å; angles 90.00, 90.00, 90.00 degrees
Atoms (fractional coordinates):
1 Pu 0.0000 0.0000 0.0000
2 Sc 0.0000 0.0000 0.5000
3 Hg 0.5000 0.5000 0.2770
4 Hg 0.5000 0.5000 0.7230

Calculated values
Calculated formation energy: -0.259 eV/atom
Energy above the lowest structure with this stoichiometry: 0.000 eV/atom
Total magnetic moment: 6.1 μB per formula unit

***

(3)
Computed, not measured: a relaxed SrLiHg2Pb crystal at the PBE level of DFT.

Cell lengths 5.0904, 5.0904, 5.2871 Å; angles 90.00, 90.00, 90.00 degrees
Atoms (fractional coordinates):
1 Sr 0.0000 0.0000 0.0000
2 Li 0.5000 0.5000 0.5000
3 Hg 0.0000 0.5000 0.5000
4 Hg 0.5000 0.0000 0.5000
5 Pb 0.5000 0.5000 0.0000

Calculated values
Calculated formation energy: -0.278 eV/atom
Energy above the lowest structure with this stoichiometry: 0.080 eV/atom
Total magnetic moment: 0.0 μB per formula unit

***

(4)
Computed, not measured: a relaxed TbHo2InO crystal at the PBE level of DFT.

Cell lengths 4.7509, 4.7509, 4.8164 Å; angles 90.00, 90.00, 90.00 degrees
Atoms (fractional coordinates):
1 Tb 0.0000 0.0000 0.0000
2 Ho 0.0000 0.5000 0.5000
3 Ho 0.5000 0.0000 0.5000
4 In 0.5000 0.5000 0.0000
5 O 0.0000 0.0000 0.5000

Calculated values
Formation energy without anion corrections: -1.43 eV per atom
Total magnetic moment: 0.0 μB per formula unit

***

(5)
Computed, not measured: a relaxed ScBiS2 crystal at the PBE level of DFT.

Cell lengths 4.8464, 4.8464, 3.4651 Å; angles 90.00, 90.00, 90.00 degrees
Atoms (fractional coordinates):
1 Sc 0.0000 0.0000 0.0000
2 Bi 0.5000 0.5000 0.0000
3 S 0.0000 0.5000 0.5000
4 S 0.5000 0.0000 0.5000

Calculated values
Formation energy without anion corrections: -0.63 eV per atom
Total magnetic moment: 0.0 μB per formula unit

***

(6)
Computed, not measured: a relaxed PmSm4Ho2Th crystal at the PBE level of DFT.

Cell lengths 5.0833, 5.0833, 10.2156 Å; angles 90.00, 90.00, 90.00 degrees
Atoms (fractional coordinates):
1 Pm 0.0000 0.0000 0.0000
2 Sm 0.0000 0.5000 0.2530
3 Sm 0.0000 0.5000 0.7470
4 Sm 0.5000 0.0000 0.2530
5 Sm 0.5000 0.0000 0.7470
6 Ho 0.0000 0.0000 0.5000
7 Ho 0.5000 0.5000 0.0000
8 Th 0.5000 0.5000 0.5000

Calculated values
Calculated formation energy: 0.034 eV/atom
Total magnetic moment: 0.0 μB per formula unit

***

(7)
Computed, not measured: a relaxed Na2PrCl6 crystal at the PBE level of DFT.

Cell lengths 7.7788, 7.7788, 9.1147 Å; angles 123.06, 123.06, 36.62 degrees
Atoms (fractional coordinates):
1 Na 0.1738 0.1738 0.1077
2 Na 0.8262 0.8262 0.8923
3 Pr 0.0000 0.0000 0.5000
4 Cl 0.0350 0.0350 0.2246
5 Cl 0.2187 0.2187 0.8284
6 Cl 0.3818 0.3818 0.4800
7 Cl 0.6182 0.6182 0.5200
8 Cl 0.7813 0.7813 0.1716
9 Cl 0.9650 0.9650 0.7754

Calculated values
Formation energy without anion corrections: -1.69 eV per atom
Total magnetic moment: 1.1 μB per formula unit

***

(8)
Computed, not measured: a relaxed KTl2Os crystal at the PBE level of DFT.

Cell lengths 10.3622, 10.3622, 10.3622 Å; angles 18.63, 18.63, 18.63 degrees
Atoms (fractional coordinates):
1 K 0.0000 0.0000 0.0000
2 Tl 0.2360 0.2360 0.2360
3 Tl 0.7640 0.7640 0.7640
4 Os 0.5000 0.5000 0.5000

Calculated values
Calculated formation energy: 0.715 eV/atom
Energy above the lowest structure with this stoichiometry: 0.164 eV/atom
Total magnetic moment: 0.3 μB per formula unit

***

Q: The highest total magnetic moment belongs to which entry?
A: PuScHg2

***

Q: What is the total magnetic moment in the fourth record?
A: 0.0 μB per formula unit